[1]
ZnInSe2 | meta-GGA SCAN | PBEsol geometry

POSCAR file:
```
ZnInSe2
1.0
3.390 0.000 0.000
0.000 3.390 0.000
0.000 0.000 7.024
Zn In Se
1 1 2
direct
0.000 0.000 0.000
0.000 0.000 0.500
0.500 0.500 0.224
0.500 0.500 0.776
```

Computed properties:
calculated total energy: -21.72 eV per atom
ΔE_f (raw): 0.16 eV/f.u.
space group: No. 123

---

[2]
La2InBr | meta-GGA SCAN | PBEsol geometry

POSCAR file:
```
La2InBr
1.0
3.597 0.000 0.000
0.000 3.597 0.000
0.000 0.000 8.435
La In Br
2 1 1
direct
0.000 0.000 0.247
0.000 0.000 0.753
0.500 0.500 0.500
0.500 0.500 0.000
```

Computed properties:
calculated total energy: -35.82 eV per atom
relative energy among the computed polymorphs: 30 meV per atom
ΔE_f (raw): -4.22 eV/f.u.
space group: No. 123

---

[3]
Tc2P | meta-GGA SCAN | PBEsol geometry

POSCAR file:
```
Tc2P
1.0
5.094 -1.453 0.000
5.094 1.453 0.000
-1.244 0.000 5.316
Tc P
4 2
direct
0.035 0.035 0.277
0.313 0.313 0.350
0.687 0.687 0.650
0.965 0.965 0.723
0.352 0.352 0.942
0.648 0.648 0.058
```

Computed properties:
calculated total energy: -27.29 eV per atom
relative energy among the computed polymorphs: 14 meV per atom
space group: No. 12
ΔE_f: -0.4512 eV/atom

---

[4]
EuRh2 | meta-GGA SCAN | PBEsol geometry

POSCAR file:
```
EuRh2
1.0
0.000 3.753 3.753
3.753 0.000 3.753
3.753 3.753 0.000
Eu Rh
2 4
direct
0.125 0.125 0.125
0.875 0.875 0.875
0.000 0.500 0.500
0.500 0.000 0.500
0.500 0.500 0.000
0.500 0.500 0.500
```

Computed properties:
calculated total energy: -40.93 eV per atom
space group: No. 227
ΔE_f: -0.5077 eV/atom

---

[5]
NdCo4B4 | meta-GGA SCAN | PBEsol geometry

POSCAR file:
```
NdCo4B4
1.0
6.972 0.000 0.000
0.000 6.972 0.000
0.000 0.000 3.764
Nd Co B
2 8 8
direct
0.250 0.250 0.250
0.750 0.750 0.750
0.109 0.634 0.144
0.134 0.891 0.644
0.366 0.609 0.644
0.391 0.866 0.144
0.609 0.134 0.856
0.634 0.391 0.356
0.866 0.109 0.356
0.891 0.366 0.856
0.048 0.911 0.147
0.089 0.548 0.647
0.411 0.952 0.647
0.452 0.589 0.147
0.548 0.411 0.853
0.589 0.048 0.353
0.911 0.452 0.353
0.952 0.089 0.853
```

Computed properties:
calculated total energy: -16.23 eV per atom
space group: No. 86
ΔE_f: -0.3965 eV/atom

---

[6]
K2CuRu | meta-GGA SCAN | PBEsol geometry

POSCAR file:
```
K2CuRu
1.0
-1.977 1.977 5.238
1.977 -1.977 5.238
1.977 1.977 -5.238
K Cu Ru
2 1 1
direct
0.250 0.750 0.500
0.750 0.250 0.500
0.000 0.000 0.000
0.500 0.500 0.000
```

Computed properties:
calculated total energy: -15.48 eV per atom
relative energy among the computed polymorphs: 459 meV per atom
space group: No. 139
ΔE_f: 1.1931 eV/atom

---

[7]
Zr2ScRh | meta-GGA SCAN | PBEsol geometry

POSCAR file:
```
Zr2ScRh
1.0
-1.967 1.967 4.931
1.967 -1.967 4.931
1.967 1.967 -4.931
Zr Sc Rh
2 1 1
direct
0.000 0.000 0.000
0.750 0.250 0.500
0.250 0.750 0.500
0.500 0.500 0.000
```

Computed properties:
calculated total energy: -27.62 eV per atom
space group: No. 119
ΔE_f: -0.2698 eV/atom

---

[8]
Re2RuSe | meta-GGA SCAN | PBEsol geometry

POSCAR file:
```
Re2RuSe
1.0
1.416 0.818 8.359
-1.416 0.818 8.359
0.000 -1.635 8.359
Re Ru Se
2 1 1
direct
0.000 0.000 0.000
0.248 0.248 0.248
0.751 0.751 0.751
0.499 0.499 0.499
```

Computed properties:
calculated total energy: -48.97 eV per atom
relative energy among the computed polymorphs: 0 meV per atom
ΔE_f (raw): 1.24 eV/f.u.
space group: No. 160

---

[9]
Tc2SbCl | meta-GGA SCAN | PBEsol geometry

POSCAR file:
```
Tc2SbCl
1.0
2.959 0.000 0.000
0.000 1.500 8.510
0.000 -1.500 8.510
Tc Sb Cl
2 1 1
direct
0.000 0.000 0.000
0.500 0.410 0.410
0.000 0.796 0.796
0.500 0.108 0.108
```

Computed properties:
calculated total energy: -28.96 eV per atom
ΔE_f (raw): -0.49 eV/f.u.
space group: No. 38

---

[10]
YMg4Sb | meta-GGA SCAN | PBEsol geometry

POSCAR file:
```
YMg4Sb
1.0
0.000 4.168 4.168
4.168 0.000 4.168
4.168 4.168 0.000
Y Mg Sb
1 4 1
direct
0.000 0.000 0.000
0.375 0.375 0.375
0.375 0.375 0.876
0.375 0.876 0.375
0.876 0.375 0.375
0.750 0.750 0.750
```

Computed properties:
calculated total energy: -14.22 eV per atom
ΔE_f (raw): -0.34 eV/f.u.
space group: No. 216

---

[11]
LiGeSbTe2 | meta-GGA SCAN | PBEsol geometry

POSCAR file:
```
LiGeSbTe2
1.0
5.104 0.000 0.000
0.000 5.104 0.000
0.000 0.000 4.745
Li Ge Sb Te
1 1 1 2
direct
0.000 0.000 0.000
0.500 0.500 0.500
0.000 0.000 0.500
0.000 0.500 0.000
0.500 0.000 0.000
```

Computed properties:
calculated total energy: -26.21 eV per atom
ΔE_f (raw): 2.18 eV/f.u.
space group: No. 123

---

[12]
SrSb3 | meta-GGA SCAN | PBEsol geometry

POSCAR file:
```
SrSb3
1.0
5.418 -7.060 0.000
5.418 7.060 0.000
0.000 0.000 4.123
Sr Sb
2 6
direct
0.206 0.794 0.750
0.794 0.206 0.250
0.115 0.478 0.250
0.431 0.569 0.750
0.478 0.115 0.750
0.522 0.885 0.250
0.569 0.431 0.250
0.885 0.522 0.750
```

Computed properties:
calculated total energy: -33.76 eV per atom
ΔE_f (raw): -0.97 eV/f.u.
space group: No. 63

---

[13]
AlIn3As | meta-GGA SCAN | PBEsol geometry

POSCAR file:
```
AlIn3As
1.0
5.323 0.000 0.000
0.000 5.323 0.000
0.000 0.000 5.323
Al In As
1 3 1
direct
0.000 0.000 0.000
0.000 0.500 0.500
0.500 0.000 0.500
0.500 0.500 0.000
0.500 0.500 0.500
```

Computed properties:
calculated total energy: -25.01 eV per atom
relative energy among the computed polymorphs: 105 meV per atom
space group: No. 221
ΔE_f: 0.6066 eV/atom

---

[14]
TeMoP | meta-GGA SCAN | PBEsol geometry

POSCAR file:
```
TeMoP
1.0
4.259 0.000 0.000
-2.129 3.688 0.000
0.000 0.000 3.407
Te Mo P
1 1 1
direct
0.000 0.000 0.000
0.333 0.667 0.500
0.667 0.333 0.500
```

Computed properties:
calculated total energy: -27.20 eV per atom
relative energy among the computed polymorphs: 353 meV per atom
ΔE_f (raw): 0.94 eV/f.u.
space group: No. 187

---

[15]
BeCuPt2 | meta-GGA SCAN | PBEsol geometry

POSCAR file:
```
BeCuPt2
1.0
4.133 0.000 0.000
0.000 4.133 0.000
0.000 0.000 2.886
Be Cu Pt
1 1 2
direct
0.000 0.000 0.000
0.500 0.500 0.000
0.000 0.500 0.500
0.500 0.000 0.500
```

Computed properties:
calculated total energy: -40.46 eV per atom
space group: No. 123
ΔE_f: -0.4790 eV/atom

---

[16]
SeIBr2 | meta-GGA SCAN | PBEsol geometry

POSCAR file:
```
SeIBr2
1.0
2.114 1.220 8.780
-2.114 1.220 8.780
0.000 -2.441 8.780
Se I Br
1 1 2
direct
0.000 0.000 0.000
0.500 0.500 0.500
0.393 0.393 0.393
0.607 0.607 0.607
```

Computed properties:
calculated total energy: -23.47 eV per atom
relative energy among the computed polymorphs: 255 meV per atom
ΔE_f (raw): 1.85 eV/f.u.
space group: No. 166

---

[17]
YZrH2Os | meta-GGA SCAN | PBEsol geometry

POSCAR file:
```
YZrH2Os
1.0
4.000 0.000 0.000
0.000 4.000 0.000
0.000 0.000 4.887
Y Zr H Os
1 1 2 1
direct
0.000 0.000 0.000
0.500 0.500 0.000
0.000 0.500 0.500
0.500 0.000 0.500
0.500 0.500 0.500
```

Computed properties:
calculated total energy: -26.72 eV per atom
space group: No. 123

---

[18]
K2VOF4 | meta-GGA SCAN | PBEsol geometry

POSCAR file:
```
K2VOF4
1.0
7.337 0.000 0.000
0.000 11.385 0.000
0.000 0.000 5.656
K V O F
8 4 4 16
direct
0.017 0.221 0.000
0.173 0.412 0.502
0.327 0.912 0.002
0.483 0.721 0.500
0.517 0.279 0.000
0.673 0.088 0.502
0.827 0.588 0.002
0.983 0.779 0.500
0.187 0.068 0.485
0.313 0.568 0.985
0.687 0.432 0.485
0.813 0.932 0.985
0.181 0.617 0.777
0.319 0.117 0.277
0.681 0.883 0.777
0.819 0.383 0.277
0.004 0.999 0.785
0.029 0.197 0.529
0.179 0.613 0.256
0.221 0.410 0.019
0.279 0.910 0.519
0.321 0.113 0.756
0.471 0.697 0.029
0.496 0.499 0.285
0.504 0.501 0.785
0.529 0.303 0.529
0.679 0.887 0.256
0.721 0.090 0.019
0.779 0.590 0.519
0.821 0.387 0.756
0.971 0.803 0.029
0.996 0.001 0.285
```

Computed properties:
calculated total energy: -9.89 eV per atom
ΔE_f (raw): -24.61 eV/f.u.
space group: No. 33

---

[19]
BaCa2Tl | meta-GGA SCAN | PBEsol geometry

POSCAR file:
```
BaCa2Tl
1.0
0.000 4.151 4.151
4.151 0.000 4.151
4.151 4.151 0.000
Ba Ca Tl
1 2 1
direct
0.000 0.000 0.000
0.250 0.250 0.250
0.500 0.500 0.500
0.750 0.750 0.750
```

Computed properties:
calculated total energy: -33.04 eV per atom
relative energy among the computed polymorphs: 95 meV per atom
space group: No. 216
ΔE_f: -0.2304 eV/atom

---

[20]
AlPt3Se | meta-GGA SCAN | PBEsol geometry

POSCAR file:
```
AlPt3Se
1.0
4.640 0.000 0.000
0.000 4.640 0.000
0.000 0.000 4.640
Al Pt Se
1 3 1
direct
0.000 0.000 0.000
0.000 0.500 0.500
0.500 0.000 0.500
0.500 0.500 0.000
0.500 0.500 0.500
```

Computed properties:
calculated total energy: -47.04 eV per atom
ΔE_f (raw): 3.22 eV/f.u.
space group: No. 221